Density functional theory data (PBE) for a relaxed structure of Nd2TmS3.

abc: 3.794 4.960 8.330
angles: 107.32 103.16 90.00
Positions (direct):
S 0.171 0.171 0.343
S 0.000 0.500 0.000
S 0.829 0.829 0.657
Nd 0.354 0.354 0.708
Nd 0.646 0.646 0.292
Tm 0.000 0.000 0.000

Its spin magnetization is 0.0 μB/f.u. For the formation energy (no corrections), the calculation gives -165.0 kJ per mole of atoms.

Density functional theory data (PBE) for a relaxed structure of NdTmS3.

abc: 3.970 7.377 15.291
angles: 90.00 90.00 90.00
Positions (direct):
S 0.750 0.350 0.286
S 0.750 0.988 0.604
S 0.250 0.650 0.714
S 0.750 0.625 0.439
S 0.250 0.512 0.104
S 0.250 0.012 0.396
S 0.250 0.150 0.786
S 0.250 0.375 0.561
S 0.750 0.488 0.896
S 0.750 0.125 0.061
S 0.750 0.850 0.214
S 0.250 0.875 0.939
Nd 0.250 0.643 0.300
Nd 0.750 0.357 0.700
Nd 0.750 0.857 0.800
Nd 0.250 0.143 0.200
Tm 0.750 0.729 0.043
Tm 0.250 0.771 0.543
Tm 0.750 0.229 0.457
Tm 0.250 0.271 0.957

Its spin magnetization is 0.0 μB/f.u. For the formation energy (no corrections), the calculation gives -199.9 kJ per mole of atoms.